1.
Below is a PBEsol-optimized structure of CuTc2Pb, with properties calculated at the SCAN level.

The structure in POSCAR format:
```
CuTc2Pb
1.0
4.461 -1.560 0.000
4.461 1.560 0.000
-0.917 0.000 4.644
Cu Tc Pb
1 2 1
Cartesian
0.000 0.000 0.000
1.584 0.000 3.749
6.420 0.000 0.895
4.002 0.000 2.322
```

Properties
energy of formation = 0.540 eV/atom
E = -158.94 eV/cell
space-group type = C2/m (12)
V = 64.62 Å³/f.u.


2.
Below is a PBEsol-optimized structure of CuTcPb2, with properties calculated at the SCAN level.

The structure in POSCAR format:
```
CuTcPb2
1.0
0.000 3.351 3.351
3.351 0.000 3.351
3.351 3.351 0.000
Cu Tc Pb
1 1 2
Cartesian
0.000 0.000 0.000
3.351 3.351 3.351
1.675 1.675 1.675
5.026 5.026 5.026
```

Properties
energy of formation = 0.787 eV/atom
E = -198.67 eV/cell
space-group type = Fm-3m (225)
energy relative to the lowest polymorph listed for this composition = 231 meV per atom
V = 75.23 Å³/f.u.


3.
Below is a PBEsol-optimized structure of CuTcPb2, with properties calculated at the SCAN level.

The structure in POSCAR format:
```
CuTcPb2
1.0
3.462 0.000 0.000
0.000 3.462 0.000
0.000 0.000 6.200
Cu Tc Pb
1 1 2
Cartesian
0.000 0.000 0.000
0.000 0.000 3.100
1.731 1.731 1.547
1.731 1.731 4.653
```

Properties
energy of formation = 0.609 eV/atom
E = -199.39 eV/cell
space-group type = P4/mmm (123)
energy relative to the lowest polymorph listed for this composition = 53 meV per atom
V = 74.31 Å³/f.u.